(1)
The following is a GGA-PBE calculation of a relaxed structure of Sm2As4O9, from OQMD.

```
Sm2As4O9
1.0
6.781 -0.021 0.036
-1.889 7.313 -0.025
-2.186 -1.721 8.940
O Sm As
18 4 8
Direct
0.612 0.660 0.239 O
0.593 0.668 0.948 O
0.991 0.775 0.182 O
0.109 0.334 0.495 O
0.874 0.533 0.866 O
0.814 0.989 0.392 O
0.131 0.106 0.152 O
0.388 0.340 0.761 O
0.657 0.130 0.938 O
0.009 0.225 0.818 O
0.126 0.467 0.134 O
0.343 0.870 0.062 O
0.186 0.011 0.608 O
0.869 0.894 0.848 O
0.761 0.253 0.257 O
0.407 0.332 0.052 O
0.239 0.747 0.743 O
0.891 0.666 0.505 O
0.253 0.054 0.878 Sm
0.747 0.946 0.122 Sm
0.225 0.532 0.908 Sm
0.775 0.468 0.092 Sm
0.751 0.077 0.777 As
0.180 0.761 0.553 As
0.820 0.239 0.447 As
0.688 0.640 0.784 As
0.326 0.239 0.571 As
0.674 0.761 0.429 As
0.249 0.923 0.223 As
0.312 0.360 0.216 As
```

- Theoretical density: 5.58 g cm⁻³
- Space group: P-1
- Final energy: -206.36 eV per cell

(2)
The following is a GGA-PBE calculation of a relaxed structure of Sm2As2O5, from OQMD.

```
Sm2As2O5
1.0
9.602 0.000 0.000
0.000 3.740 0.000
0.000 0.000 3.740
O Sm As
5 2 2
Direct
0.130 0.000 0.500 O
0.130 0.500 0.000 O
0.870 0.000 0.500 O
0.870 0.500 0.000 O
0.500 0.500 0.500 O
0.745 0.500 0.500 Sm
0.255 0.500 0.500 Sm
0.000 0.000 0.000 As
0.500 0.000 0.000 As
```

- Theoretical density: 6.56 g cm⁻³
- Space group: P4/mmm
- Relative energy among the computed polymorphs: 17 meV/atom

(3)
The following is a GGA-PBE calculation of a relaxed structure of SmTaAsO, from OQMD.

```
SmTaAsO
1.0
-2.246 -3.162 0.455
5.334 -4.187 -2.779
2.186 -0.780 5.371
O Sm As Ta
2 2 2 2
Direct
0.500 0.660 0.830 O
0.500 0.340 0.330 O
0.000 0.772 0.974 Sm
0.000 0.228 0.474 Sm
0.000 0.173 0.962 As
0.000 0.827 0.462 As
0.500 0.593 0.488 Ta
0.500 0.407 0.988 Ta
```

- Theoretical density: 8.37 g cm⁻³
- Space group: Pmc2_1
- Relative energy among the computed polymorphs: 485 meV/atom

(4)
The following is a GGA-PBE calculation of a relaxed structure of SmTaAsO, from OQMD.

```
SmTaAsO
1.0
-3.370 -1.851 -1.533
-1.355 -0.718 3.845
-3.860 7.064 -0.042
Sm O As Ta
2 2 2 2
Direct
0.000 0.000 0.500 Sm
0.500 0.500 0.500 Sm
0.500 0.500 0.000 O
0.000 0.000 0.000 O
0.000 0.500 0.240 As
0.500 0.000 0.760 As
0.500 0.000 0.100 Ta
0.000 0.500 0.900 Ta
```

- Theoretical density: 10.17 g cm⁻³
- Space group: P4/nmm
- Relative energy among the computed polymorphs: 1091 meV/atom

(5)
The following is a GGA-PBE calculation of a relaxed structure of SmTaAsO, from OQMD.

```
SmTaAsO
1.0
-0.029 -1.439 -3.730
3.731 -1.349 0.492
-3.294 -7.978 3.103
Sm Ta O As
2 2 2 2
Direct
0.750 0.750 0.873 Sm
0.250 0.250 0.127 Sm
0.750 0.250 0.500 Ta
0.250 0.750 0.500 Ta
0.250 0.750 0.000 O
0.750 0.250 0.000 O
0.250 0.250 0.695 As
0.750 0.750 0.305 As
```

- Theoretical density: 9.56 g cm⁻³
- Space group: P4/nmm
- Relative energy among the computed polymorphs: 0 meV/atom

(6)
The following is a GGA-PBE calculation of a relaxed structure of SmTaAsO, from OQMD.

```
SmTaAsO
1.0
-2.803 2.505 -1.786
-3.077 -0.725 3.812
2.744 5.381 3.239
Ta O As Sm
2 2 2 2
Direct
0.000 0.138 0.939 Ta
0.000 0.862 0.439 Ta
0.500 0.864 0.436 O
0.500 0.136 0.936 O
0.000 0.647 0.788 As
0.000 0.353 0.288 As
0.500 0.323 0.591 Sm
0.500 0.677 0.091 Sm
```

- Theoretical density: 9.92 g cm⁻³
- Space group: Pmc2_1
- Relative energy among the computed polymorphs: 212 meV/atom

> The highest theoretical density belongs to which entry?

number 4